No. 1
CuAg PBE optimized geometry; VASP energy = -3.179 eV/atom; space-group type = Pmm2
1.0
2.789 0.000 0.000
0.000 3.798 0.000
0.000 0.000 13.971
Cu Ag
5 5
Direct
0.000 0.000 0.000
0.000 0.000 0.175
0.000 0.000 0.602
0.000 0.000 0.800
0.500 0.500 0.088
0.000 0.000 0.388
0.500 0.500 0.275
0.500 0.500 0.502
0.500 0.500 0.701
0.500 0.500 0.900



No. 2
CuAg PBE optimized geometry; VASP energy = -3.170 eV/atom; space-group type = Cmme
1.0
5.557 0.000 0.000
0.000 7.749 0.000
0.000 0.000 5.584
Cu Ag
8 8
Direct
0.000 0.250 0.242
0.000 0.750 0.758
0.250 0.000 0.000
0.250 0.500 0.000
0.500 0.250 0.758
0.500 0.750 0.242
0.750 0.000 0.000
0.750 0.500 0.000
0.000 0.250 0.771
0.000 0.750 0.229
0.250 0.000 0.500
0.250 0.500 0.500
0.500 0.250 0.229
0.500 0.750 0.771
0.750 0.000 0.500
0.750 0.500 0.500



No. 3
Cu4Ag5 PBE optimized geometry; VASP energy = -3.148 eV/atom; offset from the most stable computed form = 35 meV/atom; space-group type = I4mm
1.0
-1.419 1.419 16.998
1.419 -1.419 16.998
1.419 1.419 -16.998
Cu Ag
4 5
Direct
0.000 0.000 0.000
0.109 0.109 0.000
0.220 0.220 0.000
0.764 0.764 0.000
0.319 0.319 0.000
0.446 0.446 0.000
0.554 0.554 0.000
0.664 0.664 0.000
0.883 0.883 0.000



No. 4
CuAg2 PBE optimized geometry; VASP energy = -3.036 eV/atom; offset from the most stable computed form = 54 meV/atom; space-group type = C2/m
1.0
4.495 -2.012 0.000
4.495 2.012 0.000
-2.812 0.000 7.947
Cu Ag
3 6
Direct
0.000 0.000 0.000
0.336 0.336 0.448
0.664 0.664 0.552
0.009 0.009 0.340
0.328 0.328 0.770
0.335 0.335 0.112
0.665 0.665 0.888
0.672 0.672 0.230
0.991 0.991 0.660



Calculated formation energy list, top to bottom, in meV/atom: 92.1 100.2 72.6 85.4